## CsHCO2 (meta-GGA SCAN)

Data for a PBEsol-optimized structure of CsHCO2.

Unit cell a=4.790 b=9.488 c=7.850 alpha=90.00 beta=90.00 gamma=90.00
Atoms (fractional coordinates):
Cs  0.059  0.250  0.000
Cs  0.059  0.250  0.500
Cs  0.941  0.750  0.000
Cs  0.941  0.750  0.500
H  0.434  0.527  0.250
H  0.434  0.973  0.750
H  0.566  0.027  0.250
H  0.566  0.473  0.750
C  0.387  0.551  0.750
C  0.387  0.949  0.250
C  0.613  0.051  0.750
C  0.613  0.449  0.250
O  0.143  0.000  0.250
O  0.143  0.500  0.750
O  0.452  0.680  0.750
O  0.452  0.820  0.250
O  0.548  0.180  0.750
O  0.548  0.320  0.250
O  0.857  0.000  0.750
O  0.857  0.500  0.250

total magnetic moment: 0.0 Bohr magnetons per cell
DOS(E_F): 0.000 states/eV/f.u.
calculated density: 3.31 g/cm³
electronic total energy: -14.150 eV/atom